Tb2CePmHo4 | PBE | optimized geometry

Unit cell a=3.5457 b=6.1438 c=11.7486 alpha=79.93 beta=90.00 gamma=90.00
Sites, in units of the cell vectors:
1 Tb 0.0000 0.0000 0.0000
2 Tb 0.5000 0.0000 0.5000
3 Ce 0.0000 0.5000 0.5000
4 Pm 0.5000 0.5000 0.0000
5 Ho 0.0000 0.7479 0.7486
6 Ho 0.0000 0.2521 0.2514
7 Ho 0.5000 0.7460 0.2529
8 Ho 0.5000 0.2540 0.7471

Results
- calculated total energy (eV/atom) = -4.743
- crystal system = monoclinic
- symmetry = P2/m, No. 10
- M_tot (μB per formula unit) = 0.8
- D(E_F) (states/eV/cell) = 13.17